The following is a DFT calculation (PBE) of a relaxed structure of SnHgSeO.

Total DFT energy (no corrections), eV/atom: -3.615

Cell: 6.187 9.939 6.162 Å, 90.00 90.00 90.00°
Fractional positions:
Sn  0.015  0.176  0.000
Sn  0.485  0.176  0.500
Sn  0.515  0.824  0.000
Sn  0.985  0.824  0.500
Hg  0.035  0.587  0.987
Hg  0.465  0.587  0.487
Hg  0.535  0.413  0.987
Hg  0.965  0.413  0.487
Se  0.012  0.163  0.512
Se  0.488  0.163  0.012
Se  0.512  0.837  0.512
Se  0.988  0.837  0.012
O  0.032  0.619  0.533
O  0.468  0.619  0.033
O  0.532  0.381  0.533
O  0.968  0.381  0.033

The following is a DFT calculation (PBE) of a relaxed structure of SnHgSeO.

Total DFT energy (no corrections), eV/atom: -3.646

Cell: 6.210 3.937 15.072 Å, 90.00 90.00 90.00°
Fractional positions:
Sn  0.233  0.250  0.089
Sn  0.267  0.750  0.589
Sn  0.733  0.250  0.411
Sn  0.767  0.750  0.911
Hg  0.226  0.750  0.306
Hg  0.274  0.250  0.806
Hg  0.726  0.750  0.194
Hg  0.774  0.250  0.694
Se  0.239  0.250  0.422
Se  0.261  0.750  0.922
Se  0.739  0.250  0.078
Se  0.761  0.750  0.578
O  0.233  0.750  0.161
O  0.267  0.250  0.661
O  0.733  0.750  0.339
O  0.767  0.250  0.839

The following is a DFT calculation (PBE) of a relaxed structure of SnHgSeO.

Total DFT energy (no corrections), eV/atom: -3.409

Cell: 5.257 5.257 7.546 Å, 90.00 90.00 90.00°
Fractional positions:
Sn  0.250  0.250  0.185
Sn  0.750  0.750  0.815
Hg  0.250  0.250  0.638
Hg  0.750  0.750  0.362
Se  0.250  0.750  0.500
Se  0.750  0.250  0.500
O  0.250  0.250  0.930
O  0.750  0.750  0.070

The following is a DFT calculation (PBE) of a relaxed structure of SnHgSeO.

Total DFT energy (no corrections), eV/atom: -3.815

Cell: 5.154 8.849 8.849 Å, 90.00 90.00 90.00°
Fractional positions:
Sn  0.008  0.152  0.410
Sn  0.492  0.848  0.910
Sn  0.508  0.348  0.590
Sn  0.992  0.652  0.090
Hg  0.153  0.825  0.681
Hg  0.347  0.175  0.181
Hg  0.653  0.675  0.319
Hg  0.847  0.325  0.819
Se  0.239  0.421  0.979
Se  0.261  0.579  0.479
Se  0.739  0.079  0.021
Se  0.761  0.921  0.521
O  0.194  0.211  0.605
O  0.306  0.789  0.105
O  0.694  0.289  0.395
O  0.806  0.711  0.895

The following is a DFT calculation (PBE) of a relaxed structure of TbHgSeO.

Total DFT energy (no corrections), eV/atom: -5.219

Cell: 5.694 5.706 11.645 Å, 90.00 91.95 90.00°
Fractional positions:
Tb  0.005  0.000  0.091
Tb  0.494  0.001  0.907
Tb  0.506  0.501  0.093
Tb  0.995  0.500  0.909
Hg  0.215  0.775  0.497
Hg  0.500  0.026  0.311
Hg  0.500  0.526  0.689
Hg  0.785  0.275  0.503
Se  0.183  0.330  0.275
Se  0.192  0.216  0.718
Se  0.808  0.716  0.282
Se  0.817  0.830  0.725
O  0.250  0.749  0.000
O  0.255  0.248  0.000
O  0.745  0.748  0.000
O  0.750  0.249  0.000

The following is a DFT calculation (PBE) of a relaxed structure of TbHgSeO.

Total DFT energy (no corrections), eV/atom: -5.074

Cell: 7.527 7.068 6.909 Å, 90.00 91.19 90.00°
Fractional positions:
Tb  0.055  0.143  0.191
Tb  0.055  0.357  0.691
Tb  0.945  0.643  0.309
Tb  0.945  0.857  0.809
Hg  0.484  0.191  0.006
Hg  0.484  0.309  0.506
Hg  0.516  0.691  0.494
Hg  0.516  0.809  0.994
Se  0.263  0.017  0.553
Se  0.263  0.483  0.053
Se  0.737  0.517  0.947
Se  0.737  0.983  0.447
O  0.049  0.656  0.605
O  0.049  0.844  0.105
O  0.951  0.156  0.895
O  0.951  0.344  0.395

The following is a DFT calculation (PBE) of a relaxed structure of TbHgSeO.

Total DFT energy (no corrections), eV/atom: -4.951

Cell: 4.778 8.907 5.478 Å, 90.00 90.00 90.00°
Fractional positions:
Tb  0.000  0.137  0.000
Tb  0.000  0.863  0.500
Hg  0.500  0.307  0.581
Hg  0.500  0.693  0.081
Se  0.500  0.307  0.086
Se  0.500  0.693  0.586
O  0.000  0.082  0.632
O  0.000  0.918  0.132

The following is a DFT calculation (PBE) of a relaxed structure of TbHgSeO.

Total DFT energy (no corrections), eV/atom: -5.085

Cell: 4.026 4.026 10.098 Å, 90.00 90.00 90.00°
Fractional positions:
Tb  0.250  0.250  0.106
Tb  0.750  0.750  0.894
Hg  0.250  0.750  0.500
Hg  0.750  0.250  0.500
Se  0.250  0.250  0.740
Se  0.750  0.750  0.260
O  0.250  0.750  0.000
O  0.750  0.250  0.000

The following is a DFT calculation (PBE) of a relaxed structure of Hg3Te2SeO10.

Total DFT energy (no corrections), eV/atom: -4.426

Cell: 8.377 5.445 11.207 Å, 90.00 109.51 90.00°
Fractional positions:
Hg  0.011  0.000  0.372
Hg  0.014  0.966  0.886
Hg  0.307  0.997  0.701
Hg  0.693  0.497  0.299
Hg  0.986  0.466  0.114
Hg  0.989  0.500  0.628
Te  0.282  0.507  0.446
Te  0.308  0.470  0.951
Te  0.692  0.970  0.049
Te  0.718  0.007  0.554
Se  0.354  0.989  0.218
Se  0.646  0.489  0.782
O  0.083  0.615  0.314
O  0.122  0.328  0.987
O  0.152  0.303  0.521
O  0.167  0.663  0.810
O  0.227  0.165  0.271
O  0.244  0.802  0.101
O  0.268  0.806  0.531
O  0.340  0.173  0.873
O  0.473  0.816  0.340
O  0.477  0.175  0.167
O  0.523  0.675  0.833
O  0.527  0.316  0.660
O  0.660  0.673  0.127
O  0.732  0.306  0.469
O  0.756  0.302  0.899
O  0.773  0.665  0.729
O  0.833  0.163  0.190
O  0.848  0.803  0.479
O  0.878  0.828  0.013
O  0.917  0.115  0.686

The following is a DFT calculation (PBE) of a relaxed structure of TlHgSeO.

Total DFT energy (no corrections), eV/atom: -3.010

Cell: 4.043 7.234 6.853 Å, 90.00 90.00 90.00°
Fractional positions:
Tl  0.000  0.135  0.000
Tl  0.000  0.865  0.500
Hg  0.500  0.286  0.558
Hg  0.500  0.714  0.058
Se  0.500  0.352  0.169
Se  0.500  0.648  0.669
O  0.000  0.144  0.662
O  0.000  0.856  0.162

The following is a DFT calculation (PBE) of a relaxed structure of TlHgSeO.

Total DFT energy (no corrections), eV/atom: -2.937

Cell: 4.334 4.334 9.560 Å, 90.00 90.00 90.00°
Fractional positions:
Tl  0.250  0.250  0.102
Tl  0.750  0.750  0.898
Hg  0.250  0.750  0.500
Hg  0.750  0.250  0.500
Se  0.250  0.250  0.685
Se  0.750  0.750  0.315
O  0.250  0.750  0.000
O  0.750  0.250  0.000

The following is a DFT calculation (PBE) of a relaxed structure of TlHgSeO.

Total DFT energy (no corrections), eV/atom: -3.087

Cell: 5.820 5.841 11.535 Å, 90.00 96.50 90.00°
Fractional positions:
Tl  0.011  0.000  0.091
Tl  0.483  0.988  0.907
Tl  0.517  0.488  0.093
Tl  0.989  0.500  0.909
Hg  0.167  0.630  0.503
Hg  0.470  0.873  0.333
Hg  0.530  0.373  0.667
Hg  0.833  0.130  0.497
Se  0.167  0.181  0.294
Se  0.243  0.065  0.703
Se  0.757  0.565  0.297
Se  0.833  0.681  0.706
O  0.251  0.750  0.008
O  0.252  0.257  0.997
O  0.748  0.757  0.003
O  0.749  0.250  0.992